[1]
PBE-GGA Li2Zn2Pd, relaxed; spin magnetization = 0.000 μB per atom; VASP energy = -2.549 eV per atom; distance to the lowest polymorph of the same formula = 0.778 eV per formula unit
1.0
-0.396 -0.343 -6.891
6.412 -2.566 -0.240
-1.115 -2.806 0.204
Zn Li Pd
4 4 2
direct
0.866 0.634 0.000 Zn
0.366 0.866 0.000 Zn
0.634 0.134 0.000 Zn
0.134 0.366 0.000 Zn
0.168 0.668 0.500 Li
0.832 0.332 0.500 Li
0.332 0.168 0.500 Li
0.668 0.832 0.500 Li
0.000 0.000 0.000 Pd
0.500 0.500 0.000 Pd

[2]
PBE-GGA MgRe3P, relaxed; spin magnetization = 0.407 μB per atom; VASP energy = -6.050 eV per atom; distance to the lowest polymorph of the same formula = 10.509 eV per formula unit
1.0
4.508 0.000 0.000
0.000 4.508 0.000
0.000 0.000 4.508
P Re Mg
1 3 1
direct
0.500 0.500 0.500 P
0.000 0.500 0.000 Re
0.000 0.000 0.500 Re
0.500 0.000 0.000 Re
0.000 0.000 0.000 Mg

[3]
PBE-GGA HfBiH2O, relaxed; spin magnetization = 0.000 μB per atom; VASP energy = -5.716 eV per atom
1.0
4.034 0.000 0.000
0.000 4.121 0.000
0.000 0.000 4.034
O H Hf Bi
1 2 1 1
direct
0.000 0.500 0.000 O
0.000 0.000 0.500 H
0.500 0.000 0.000 H
0.000 0.000 0.000 Hf
0.500 0.500 0.500 Bi

[4]
PBE-GGA Y2CuPb, relaxed; spin magnetization = 0.000 μB per atom; VASP energy = -5.389 eV per atom
1.0
-7.723 2.707 3.550
-6.842 -0.290 5.716
-5.310 3.108 6.459
Y Pb Cu
2 1 1
direct
0.514 0.514 0.514 Y
0.986 0.986 0.986 Y
0.750 0.750 0.750 Pb
0.250 0.250 0.250 Cu